DFT (PBE) results for an optimized crystal structure of LiSb2TeC.

```
5
Lattice="-1.053 0.580 -4.789 0.172 -4.894 -0.631 -4.852 -0.303 1.030" Properties=species:S:1:pos:R:3 pbc="T T T"
Sb 0.086 -2.447 -0.315
Sb -0.527 0.290 -2.394
C -2.867 -2.308 -2.195
Te -2.426 -0.152 0.515
Li 0.000 0.000 0.000
```

Output
Volume: 121 Å³/f.u.
Density of states at the Fermi level: 3.91 states/eV per cell
ΔE to the lowest computed polymorph: 814 meV per atom

---

DFT (PBE) results for an optimized crystal structure of ScZnTc.

```
6
Lattice="-2.663 -1.364 -4.369 0.578 -3.285 4.113 -5.278 -0.428 -0.089" Properties=species:S:1:pos:R:3 pbc="T T T"
Sc -3.445 -4.071 0.307
Sc -3.918 -1.007 -0.652
Tc -1.331 -0.682 -2.185
Tc 0.289 -1.643 2.056
Zn -2.350 -1.857 2.012
Zn -1.042 -2.325 -0.128
```

Output
Volume: 50 Å³/f.u.
Density of states at the Fermi level: 3.79 states/eV per cell
ΔE to the lowest computed polymorph: 0 meV per atom

---

DFT (PBE) results for an optimized crystal structure of Ce4VGe8.

```
13
Lattice="-2.514 -3.193 0.284 3.116 -2.564 -1.250 4.523 -2.163 15.714" Properties=species:S:1:pos:R:3 pbc="T T T"
Ce 0.443 -0.212 1.540
Ce 4.329 -2.608 9.003
Ce 2.088 -3.733 5.724
Ce 2.780 -3.527 14.167
V 1.433 -0.686 4.980
Ge 2.113 -1.011 7.341
Ge 5.822 -3.322 14.188
Ge 0.501 -2.975 0.213
Ge 1.298 -2.818 9.017
Ge 2.610 -1.786 3.031
Ge 3.399 -1.626 11.807
Ge -0.215 -2.095 3.761
Ge 3.713 -4.511 11.372
```

Output
Volume: 284 Å³/f.u.
Density of states at the Fermi level: 15.87 states/eV per cell
Final energy: -5.896 eV per atom

---

Number 1: M_tot 1.329 μB per formula unit. Number 2: M_tot 0.000 μB per formula unit. Number 3: M_tot 2.771 μB per formula unit.